# 1
VASP calculation (GGA-PBE) on a relaxed PSe2 crystal.

The structure in extended XYZ format:
```
3
Lattice="-1.668 1.668 5.160 1.668 -1.668 5.160 1.668 1.668 -5.160" Properties=species:S:1:pos:R:3 pbc="T T T"
P 0.000 0.000 0.000
Se 0.000 0.000 3.672
Se 0.000 0.000 6.648
```

Properties
**E**: -3.4985 eV/atom
**V**: 57.4 Å³/cell
**Offset from the most stable computed form**: 598 meV/atom
**Magnetization**: 0.0000 μB/atom

***

# 2
VASP calculation (GGA-PBE) on a relaxed LaRh4O8 crystal.

The structure in extended XYZ format:
```
13
Lattice="5.384 -3.112 0.000 5.384 3.112 0.000 -5.311 0.000 5.621" Properties=species:S:1:pos:R:3 pbc="T T T"
La 0.000 0.000 0.000
Rh 2.728 1.545 2.811
Rh 0.045 0.000 2.910
Rh 5.411 0.000 2.711
Rh 2.728 -1.545 2.811
O 0.926 1.498 1.764
O 4.530 -1.498 3.857
O -3.589 0.000 3.829
O 0.926 -1.498 1.764
O 3.587 0.000 1.841
O 1.869 0.000 3.781
O 4.530 1.498 3.857
O 9.045 0.000 1.793
```

Properties
**E**: -6.8884 eV/atom
**V**: 188.3 Å³/cell
**Offset from the most stable computed form**: 19 meV/atom
**Magnetization**: 0.0693 μB/atom

***

# 3
VASP calculation (GGA-PBE) on a relaxed NdDy4Y5 crystal.

The structure in extended XYZ format:
```
10
Lattice="-5.130 5.130 3.153 5.130 -5.130 3.153 5.130 5.130 -3.153" Properties=species:S:1:pos:R:3 pbc="T T T"
Nd 0.000 0.000 0.000
Dy 6.653 -0.518 1.459
Dy 3.606 0.518 1.459
Dy -0.518 3.606 1.459
Dy 0.518 6.653 1.459
Y 0.000 0.000 2.871
Y 6.634 2.724 1.443
Y 2.724 3.626 1.443
Y 2.406 1.504 4.596
Y -1.504 2.406 4.596
```

Properties
**Energy of formation from the pure elements**: 0.301 eV/atom
**E**: -5.2483 eV/atom
**V**: 331.9 Å³/cell
**Magnetization**: 0.0000 μB/atom

***

# 4
VASP calculation (GGA-PBE) on a relaxed NbP4S5Cl5 crystal.

The structure in extended XYZ format:
```
60
Lattice="7.215 0.000 0.000 0.000 14.478 0.000 -4.926 0.000 18.388" Properties=species:S:1:pos:R:3 pbc="T T T"
Nb 1.440 2.825 0.670
Nb -1.022 4.414 9.864
Nb 3.311 10.064 8.524
Nb 0.848 11.654 17.718
P -3.347 7.457 14.889
P -0.884 14.261 5.695
P -1.671 2.091 11.327
P 0.792 5.148 2.133
P -1.655 2.459 13.626
P 0.808 4.780 4.432
P 1.933 7.904 3.626
P -0.530 13.813 12.820
P 2.819 0.665 5.568
P 0.356 6.574 14.762
P 1.481 9.698 13.956
P 3.944 12.019 4.762
P 1.497 9.330 16.255
P 3.960 12.387 7.061
P 3.173 0.218 12.693
P 5.635 7.022 3.499
S -3.599 1.758 14.098
S -1.136 5.481 4.904
S -3.793 8.585 16.653
S -1.330 13.132 7.459
S -0.101 8.548 3.677
S -2.564 13.169 12.871
S -0.298 0.518 11.046
S 2.164 6.721 1.852
S -0.305 0.933 14.218
S 2.157 6.306 5.024
S 0.131 8.172 13.364
S 2.594 13.545 4.170
S 0.124 7.757 16.535
S 2.587 13.960 7.341
S 4.853 1.309 5.517
S 2.390 5.930 14.711
S 3.619 1.346 10.929
S 6.082 5.893 1.735
S 3.425 8.997 13.484
S 5.888 12.720 4.290
Cl -1.990 10.635 9.752
Cl 0.473 11.082 0.558
Cl 0.020 1.943 2.338
Cl -2.442 5.296 11.532
Cl -2.927 0.871 18.007
Cl -0.464 6.368 8.813
Cl 0.212 2.905 8.542
Cl -2.251 4.334 17.736
Cl 1.581 10.149 6.922
Cl -0.882 11.569 16.116
Cl 3.170 2.910 2.272
Cl 0.708 4.329 11.466
Cl 4.540 10.145 0.652
Cl 2.077 11.573 9.846
Cl 2.753 8.110 9.574
Cl 5.216 13.607 0.381
Cl 4.731 9.182 6.856
Cl 2.269 12.536 16.050
Cl 1.816 3.396 17.830
Cl 4.279 3.843 8.636
```

Properties
**E**: -4.7039 eV/atom
**V**: 1920.7 Å³/cell
**Magnetization**: 0.0000 μB/atom

***

# 5
VASP calculation (GGA-PBE) on a relaxed NdMgHg6 crystal.

The structure in extended XYZ format:
```
8
Lattice="4.979 0.000 0.000 0.000 3.569 5.537 0.000 -3.569 5.537" Properties=species:S:1:pos:R:3 pbc="T T T"
Nd 0.000 0.000 0.000
Mg 2.489 0.000 2.973
Hg 0.000 0.000 5.154
Hg 0.000 -1.712 8.171
Hg 0.000 1.712 8.171
Hg 2.489 -1.602 6.026
Hg 2.489 1.602 6.026
Hg 2.489 0.000 8.941
```

Properties
**Energy of formation from the pure elements**: -0.221 eV/atom
**E**: -1.2431 eV/atom
**V**: 196.8 Å³/cell
**Magnetization**: 0.0000 μB/atom

***

# 6
VASP calculation (GGA-PBE) on a relaxed NpGeS3 crystal.

The structure in extended XYZ format:
```
10
Lattice="7.955 -2.045 0.000 7.955 2.045 0.000 -0.401 0.000 7.209" Properties=species:S:1:pos:R:3 pbc="T T T"
Np 2.032 0.000 0.548
Np 13.477 0.000 6.661
Ge 6.244 0.000 3.005
Ge 9.265 0.000 4.204
S 0.031 0.000 5.644
S 2.487 0.000 3.152
S 4.936 0.000 0.888
S 10.572 0.000 6.320
S 13.022 0.000 4.057
S 15.477 0.000 1.564
```

Properties
**E**: -6.6300 eV/atom
**V**: 234.5 Å³/cell
**Offset from the most stable computed form**: 145 meV/atom
**Magnetization**: 0.6006 μB/atom

***

# 7
VASP calculation (GGA-PBE) on a relaxed Ba2Cd4Ge3Au crystal.

The structure in extended XYZ format:
```
10
Lattice="4.778 0.000 0.000 0.000 4.778 0.000 0.000 0.000 11.454" Properties=species:S:1:pos:R:3 pbc="T T T"
Ba 0.000 2.389 2.807
Ba 2.389 0.000 8.647
Cd 0.000 0.000 5.727
Cd 0.000 2.389 9.990
Cd 2.389 0.000 1.464
Cd 2.389 2.389 5.727
Ge 0.000 0.000 0.000
Ge 0.000 2.389 7.286
Ge 2.389 0.000 4.169
Au 2.389 2.389 0.000
```

Properties
**Energy of formation from the pure elements**: -0.358 eV/atom
**E**: -2.8212 eV/atom
**V**: 261.5 Å³/cell
**Magnetization**: 0.0000 μB/atom

***

# 8
VASP calculation (GGA-PBE) on a relaxed ZnCd2As crystal.

The structure in extended XYZ format:
```
4
Lattice="1.966 -2.410 0.000 1.966 2.410 0.000 0.000 0.000 8.744" Properties=species:S:1:pos:R:3 pbc="T T T"
Zn 0.000 0.000 0.000
Cd 0.000 0.000 4.232
Cd 1.966 0.000 6.651
As 1.966 0.000 1.800
```

Properties
**Energy of formation from the pure elements**: 0.155 eV/atom
**E**: -1.7832 eV/atom
**V**: 82.9 Å³/cell
**Offset from the most stable computed form**: 71 meV/atom
**Magnetization**: 0.0000 μB/atom

***

# 9
VASP calculation (GGA-PBE) on a relaxed CeSm12Dy3 crystal.

The structure in extended XYZ format:
```
16
Lattice="5.101 0.000 0.000 0.000 5.101 0.000 0.000 0.000 20.400" Properties=species:S:1:pos:R:3 pbc="T T T"
Ce 0.000 0.000 0.000
Sm 0.000 2.550 2.532
Sm 0.000 2.550 7.645
Sm 0.000 2.550 12.754
Sm 0.000 2.550 17.868
Sm 2.550 0.000 2.532
Sm 2.550 0.000 7.645
Sm 2.550 0.000 12.754
Sm 2.550 0.000 17.868
Sm 2.550 2.550 0.000
Sm 2.550 2.550 5.127
Sm 2.550 2.550 10.200
Sm 2.550 2.550 15.272
Dy 0.000 0.000 5.092
Dy 0.000 0.000 10.200
Dy 0.000 0.000 15.308
```

Properties
**Energy of formation from the pure elements**: 0.031 eV/atom
**E**: -4.7421 eV/atom
**V**: 530.8 Å³/cell
**Magnetization**: 0.0594 μB/atom

***

Question: Look up the E of the seventh one.
Answer: -2.8212 eV/atom

***

Question: Look up the E of the seventh one.
Answer: -2.8212 eV/atom

***

Question: E of number 4 (NbP4S5Cl5)?
Answer: -4.7039 eV/atom